No. 1
The following is a PBE-GGA calculation of an optimized crystal structure of TiCo3Cu, from the Alexandria database.

DOS at the Fermi energy   10.09 states/eV per cell
Energy of formation   99.2 kJ per mole of atoms
Space group   No. 221
Energy relative to the lowest polymorph listed for this composition   0.0 meV/atom
Raw total energy   -5.63 eV/atom

POSCAR file:
```
TiCo3Cu
1.0
-2.377 3.519 0.310
-3.334 -2.358 1.206
1.168 0.431 4.071
Co Cu Ti
3 1 1
Direct
0.000 0.500 0.000
0.000 0.000 0.500
0.500 0.000 0.000
0.000 0.000 0.000
0.500 0.500 0.500
```

---

No. 2
The following is a PBE-GGA calculation of an optimized crystal structure of Mg14SiW, from the Alexandria database.

DOS at the Fermi energy   8.14 states/eV per cell
Space group   No. 38
Energy relative to the lowest polymorph listed for this composition   10.6 meV/atom
Uncorrected formation energy   2.5 eV per formula unit
Raw total energy   -2.39 eV/atom

POSCAR file:
```
Mg14SiW
1.0
-3.664 -3.202 -3.852
3.025 -2.803 4.637
-7.886 1.641 6.136
Mg Si W
14 1 1
Direct
0.834 0.166 0.000
0.334 0.666 0.000
0.336 0.165 0.500
0.331 0.167 0.000
0.835 0.664 0.500
0.833 0.669 0.000
0.167 0.337 0.267
0.167 0.337 0.733
0.663 0.833 0.267
0.663 0.833 0.733
0.668 0.332 0.251
0.668 0.332 0.749
0.173 0.827 0.256
0.173 0.827 0.744
0.825 0.175 0.500
0.332 0.668 0.500
```

---

No. 3
The following is a PBE-GGA calculation of an optimized crystal structure of MnTl2Fe, from the Alexandria database.

DOS at the Fermi energy   3.13 states/eV per cell
Energy of formation   56.4 kJ per mole of atoms
Space group   No. 6
Energy relative to the lowest polymorph listed for this composition   105.6 meV/atom
Raw total energy   -5.01 eV/atom

POSCAR file:
```
MnTl2Fe
1.0
4.451 0.000 0.000
0.000 3.314 -0.057
0.000 0.887 5.279
Fe Mn Tl
1 1 2
Direct
0.000 0.672 0.482
0.500 0.584 0.766
0.000 0.037 0.930
0.500 0.207 0.322
```

---

No. 4
The following is a PBE-GGA calculation of an optimized crystal structure of PdIBr3, from the Alexandria database.

Space group   No. 14
Energy relative to the lowest polymorph listed for this composition   7.3 meV/atom
Uncorrected formation energy   -0.7 eV per formula unit
Raw total energy   -2.49 eV/atom

POSCAR file:
```
PdIBr3
1.0
-1.387 -1.263 5.727
18.326 -11.097 1.992
-6.261 10.880 0.883
Pd I Br
4 4 12
Direct
0.934 0.732 0.337
0.066 0.268 0.663
0.434 0.268 0.163
0.566 0.732 0.837
0.183 0.635 0.647
0.817 0.365 0.353
0.683 0.365 0.853
0.317 0.635 0.147
0.011 0.890 0.439
0.989 0.110 0.561
0.511 0.110 0.061
0.489 0.890 0.939
0.565 0.828 0.510
0.435 0.172 0.490
0.065 0.172 0.990
0.935 0.828 0.010
0.873 0.579 0.256
0.127 0.421 0.744
0.373 0.421 0.244
0.627 0.579 0.756
```

---

No. 5
The following is a PBE-GGA calculation of an optimized crystal structure of KAlIn2, from the Alexandria database.

DOS at the Fermi energy   1.72 states/eV per cell
Energy of formation   1.4 kJ per mole of atoms
Space group   No. 123
Raw total energy   -2.56 eV/atom

POSCAR file:
```
KAlIn2
1.0
-1.849 -2.120 -2.138
-1.390 -1.625 2.813
-6.748 5.843 0.041
K Al In
1 1 2
Direct
0.500 0.500 0.250
0.500 0.500 0.750
0.000 0.000 0.947
0.000 0.000 0.553
```

---

No. 6
The following is a PBE-GGA calculation of an optimized crystal structure of PmTmPt2, from the Alexandria database.

DOS at the Fermi energy   3.31 states/eV per cell
Energy of formation   -112.1 kJ per mole of atoms
Space group   No. 225
Energy relative to the lowest polymorph listed for this composition   75.5 meV/atom
Raw total energy   -6.49 eV/atom

POSCAR file:
```
PmTmPt2
1.0
-2.166 -2.712 -3.573
1.917 -4.415 -1.284
-2.409 -4.199 1.175
Tm Pt Pm
1 2 1
Direct
0.000 0.000 0.000
0.250 0.250 0.250
0.750 0.750 0.750
0.500 0.500 0.500
```

---

Question: Number 2 is which compound?
Answer: Mg14SiW

---

Question: raw total energy of number 5 (KAlIn2)?
Answer: -2.56 eV/atom

---

Question: Among the records above, which one has the highest raw total energy?
Answer: Mg14SiW

---

Question: The lowest raw total energy belongs to which entry?
Answer: PmTmPt2